[1]
Entry from Alexandria: crystalline CeGaSnPb at its relaxed geometry (GGA-PBE).

**Total magnetization**: 0.18 μB/atom
**Space group**: Pmmm (47)
**Total DFT energy (no corrections)**: -18.45 eV/cell
**DOS(E_F)**: 4.50 states/eV/cell

Cell and atoms, written as POSCAR:
```
CeGaSnPb
1.0
4.618 0.000 0.000
0.000 4.651 0.000
0.000 0.000 4.743
Ce Ga Sn Pb
1 1 1 1
Cartesian
0.000 0.000 0.000
2.309 2.325 0.000
2.309 0.000 2.371
0.000 2.325 2.371
```

=====

[2]
Entry from Alexandria: crystalline TlTe4P at its relaxed geometry (GGA-PBE).

**Total magnetization**: 0.36 μB/atom
**Uncorrected formation energy**: 0.58 eV/atom
**Space group**: F-43m (216)
**Total DFT energy (no corrections)**: -16.87 eV/cell
**DOS(E_F)**: 6.80 states/eV/cell

Cell and atoms, written as POSCAR:
```
TlTe4P
1.0
0.000 4.552 4.552
4.552 0.000 4.552
4.552 4.552 0.000
Tl Te P
1 4 1
Cartesian
0.000 0.000 0.000
3.423 3.423 3.423
5.682 5.682 3.423
5.682 3.423 5.682
3.423 5.682 5.682
6.829 6.829 6.829
```

=====

[3]
Entry from Alexandria: crystalline LiGaN2 at its relaxed geometry (GGA-PBE).

**Total magnetization**: 0.00 μB/atom
**Uncorrected formation energy**: 0.66 eV/atom
**Space group**: Fm-3m (225)
**Total DFT energy (no corrections)**: -18.93 eV/cell
**DOS(E_F)**: 1.95 states/eV/cell
**E above lowest polymorph**: 0.56 eV/f.u.

Cell and atoms, written as POSCAR:
```
LiGaN2
1.0
0.000 2.602 2.602
2.602 0.000 2.602
2.602 2.602 0.000
Li Ga N
1 1 2
Cartesian
0.000 0.000 0.000
2.602 2.602 2.602
1.301 1.301 1.301
3.904 3.904 3.904
```

=====

[4]
Entry from Alexandria: crystalline Ba3TeO6 at its relaxed geometry (GGA-PBE).

**Total magnetization**: 0.00 μB/atom
**Uncorrected formation energy**: -2.23 eV/atom
**Space group**: P2_1/c (14)
**Total DFT energy (no corrections)**: -121.87 eV/cell
**DOS(E_F)**: 0.00 states/eV/cell

Cell and atoms, written as POSCAR:
```
Ba3TeO6
1.0
6.288 0.000 0.000
0.000 6.340 0.000
-6.128 0.000 8.912
Ba Te O
6 2 12
Cartesian
0.000 0.000 0.000
-3.064 3.170 4.456
-2.956 0.202 6.690
0.109 2.968 2.234
0.051 3.372 6.677
3.115 6.139 2.222
0.080 0.000 4.456
3.144 3.170 0.000
-0.483 0.192 2.574
-3.547 2.978 7.030
1.613 4.351 0.361
-1.451 5.159 4.816
-1.033 1.564 4.930
2.031 1.606 0.474
-1.872 4.734 8.438
1.193 4.777 3.982
1.610 1.181 4.095
-1.454 1.989 8.551
3.707 3.362 1.881
0.642 6.148 6.337
```